Density functional theory data (PBE) for crystalline La2GaBi4 at its relaxed geometry.

```
7
Lattice="4.705 0.000 0.000 0.000 4.705 0.000 0.000 0.000 9.999" Properties=species:S:1:pos:R:3 pbc="T T T"
La 0.000 2.353 2.398
La 2.353 0.000 7.601
Ga 2.353 2.353 0.000
Bi 0.000 0.000 5.000
Bi 0.000 2.353 8.347
Bi 2.353 0.000 1.652
Bi 2.353 2.353 5.000
```

Computed properties:
Space group   P-4m2 (115)
Excess energy over the best structure of this formula in the dataset   0 meV per atom

Density functional theory data (PBE) for crystalline FeTc3P at its relaxed geometry.

```
5
Lattice="4.302 0.000 0.000 0.000 4.302 0.000 0.000 0.000 4.302" Properties=species:S:1:pos:R:3 pbc="T T T"
Fe 0.000 0.000 0.000
Tc 0.000 2.151 2.151
Tc 2.151 0.000 2.151
Tc 2.151 2.151 0.000
P 2.151 2.151 2.151
```

Computed properties:
Space group   Pm-3m (221)
Excess energy over the best structure of this formula in the dataset   0 meV per atom

Density functional theory data (PBE) for crystalline Li4GaPt at its relaxed geometry.

```
6
Lattice="2.667 0.000 0.000 0.000 4.307 0.000 -0.005 0.000 7.575" Properties=species:S:1:pos:R:3 pbc="T T T"
Li 0.061 0.000 1.348
Li 0.109 2.154 4.973
Li 2.552 2.154 2.602
Li 2.600 0.000 6.226
Ga 1.333 2.154 0.000
Pt 1.331 0.000 3.787
```

Computed properties:
Space group   P2/m (10)
Excess energy over the best structure of this formula in the dataset   70 meV per atom

Density functional theory data (PBE) for crystalline MgPaSbO6 at its relaxed geometry.

```
18
Lattice="5.246 0.000 0.000 -2.623 4.543 0.000 0.000 0.000 9.634" Properties=species:S:1:pos:R:3 pbc="T T T"
Mg 0.000 3.029 2.409
Mg 2.623 1.514 7.226
Pa 0.000 0.000 0.000
Pa 0.000 0.000 4.817
Sb 0.000 3.029 7.226
Sb 2.623 1.514 2.409
O -0.842 1.587 6.105
O -1.670 3.021 8.347
O 0.842 1.587 8.347
O -0.828 4.479 6.105
O 1.795 0.064 1.288
O 0.953 1.522 3.530
O 1.670 3.021 6.105
O 0.828 4.479 8.347
O 3.451 0.064 3.530
O 1.781 2.957 1.288
O 4.293 1.522 1.288
O 3.465 2.957 3.530
```

Computed properties:
Space group   P-31c (163)
Raw formation energy   -2.58 eV per atom

Density functional theory data (PBE) for crystalline Y4HoMg5 at its relaxed geometry.

```
10
Lattice="3.804 0.000 0.000 0.000 3.804 0.000 0.000 0.000 18.928" Properties=species:S:1:pos:R:3 pbc="T T T"
Y 0.000 0.000 1.899
Y 0.000 0.000 5.702
Y 0.000 0.000 13.225
Y 0.000 0.000 17.028
Ho 0.000 0.000 9.464
Mg 1.902 1.902 0.000
Mg 1.902 1.902 3.799
Mg 1.902 1.902 7.596
Mg 1.902 1.902 11.332
Mg 1.902 1.902 15.129
```

Computed properties:
Space group   P4/mmm (123)
Uncorrected energy   -39.42 eV per formula unit

Density functional theory data (PBE) for crystalline Rb2IrPtCl6 at its relaxed geometry.

```
10
Lattice="-3.753 3.753 4.547 3.753 -3.753 4.547 3.753 3.753 -4.547" Properties=species:S:1:pos:R:3 pbc="T T T"
Rb 3.753 0.000 2.273
Rb 0.000 3.753 2.273
Ir 0.000 0.000 0.000
Pt 0.000 0.000 4.547
Cl 1.715 1.715 0.000
Cl 2.038 -2.038 4.547
Cl 0.000 0.000 2.297
Cl 0.000 0.000 6.797
Cl -2.038 2.038 4.547
Cl 2.038 2.038 4.547
```

Computed properties:
Space group   I4/mmm (139)
Raw formation energy   -0.80 eV per atom

Density functional theory data (PBE) for crystalline CrRhBr2 at its relaxed geometry.

```
4
Lattice="1.931 -3.242 0.000 1.931 3.242 0.000 0.000 0.000 7.140" Properties=species:S:1:pos:R:3 pbc="T T T"
Cr 0.000 0.000 0.000
Rh 0.000 0.000 3.570
Br 1.931 0.000 1.796
Br 1.931 0.000 5.344
```

Computed properties:
Space group   Cmmm (65)
Raw formation energy   0.41 eV per atom
Excess energy over the best structure of this formula in the dataset   480 meV per atom

Density functional theory data (PBE) for crystalline MnCu2Pt at its relaxed geometry.

```
8
Lattice="-3.433 3.433 2.548 3.433 -3.433 2.548 3.433 3.433 -2.548" Properties=species:S:1:pos:R:3 pbc="T T T"
Mn 0.000 0.000 0.000
Mn 0.000 3.433 1.274
Cu 5.149 1.709 -0.637
Cu 1.709 1.716 0.637
Cu -1.716 1.724 1.911
Cu 1.724 1.716 3.184
Pt 3.433 0.000 1.274
Pt 0.000 0.000 2.548
```

Computed properties:
Space group   I-42d (122)
Uncorrected energy   -22.37 eV per formula unit

Density functional theory data (PBE) for crystalline Ag3PbO3 at its relaxed geometry.

```
14
Lattice="2.889 1.668 7.814 -2.889 1.668 7.814 0.000 -3.336 7.814" Properties=species:S:1:pos:R:3 pbc="T T T"
Ag -1.972 0.256 10.661
Ag -1.207 -1.580 12.782
Ag 0.764 -1.835 10.661
Ag -0.764 1.835 12.782
Ag 1.207 1.580 10.661
Ag 1.972 -0.256 12.782
Pb 0.000 0.000 7.782
Pb 0.000 0.000 15.661
O -1.113 -1.372 9.154
O -1.745 0.278 14.288
O -0.631 1.650 9.154
O 0.631 -1.650 14.288
O 1.745 -0.278 9.154
O 1.113 1.372 14.288
```

Computed properties:
Space group   R-3 (148)
Raw formation energy   -0.35 eV per atom

Density functional theory data (PBE) for crystalline RbGe3Bi at its relaxed geometry.

```
5
Lattice="5.699 0.000 0.000 0.000 5.699 0.000 0.000 0.000 5.699" Properties=species:S:1:pos:R:3 pbc="T T T"
Rb 0.000 0.000 0.000
Ge 0.000 2.849 2.849
Ge 2.849 0.000 2.849
Ge 2.849 2.849 0.000
Bi 2.849 2.849 2.849
```

Computed properties:
Space group   Pm-3m (221)
Excess energy over the best structure of this formula in the dataset   0 meV per atom

Density functional theory data (PBE) for crystalline CeZrGaHg at its relaxed geometry.

```
4
Lattice="0.000 3.600 3.600 3.600 0.000 3.600 3.600 3.600 0.000" Properties=species:S:1:pos:R:3 pbc="T T T"
Ce 0.000 0.000 0.000
Zr 3.600 3.600 3.600
Ga 1.800 1.800 1.800
Hg 5.401 5.401 5.401
```

Computed properties:
Space group   F-43m (216)
Uncorrected energy   -18.82 eV per formula unit

Density functional theory data (PBE) for crystalline Nd7Zn2Pb2 at its relaxed geometry.

```
11
Lattice="4.132 -5.809 0.000 4.132 5.809 0.000 0.000 0.000 7.447" Properties=species:S:1:pos:R:3 pbc="T T T"
Nd 0.000 0.000 0.000
Nd 2.066 2.905 2.058
Nd 2.066 2.905 5.389
Nd 2.066 -2.905 2.058
Nd 2.066 -2.905 5.389
Nd 4.132 0.000 1.733
Nd 4.132 0.000 5.714
Zn 4.132 2.530 0.000
Zn 4.132 -2.530 0.000
Pb 1.518 0.000 3.723
Pb 6.746 0.000 3.723
```

Computed properties:
Space group   Cmmm (65)
Uncorrected energy   -44.17 eV per formula unit